(1)
Entry from Alexandria via LeMat-Bulk: crystalline MgSi2GeS at its relaxed geometry (PBE).

Cell lengths 4.955, 4.955, 4.698 Å; angles 90.00, 90.00, 90.00 degrees
Space group P4/mmm (No. 123)
Unique sites:
Mg: 0.000 0.000 0.000 x1
Si: 0.000 0.500 0.000 x2
Ge: 0.500 0.500 0.500 x1
S: 0.000 0.000 0.500 x1

Properties
N(E_F)	3.1	states/eV/cell
E	-3.306	eV/atom

---

(2)
Entry from Alexandria via LeMat-Bulk: crystalline MgSn2GeS at its relaxed geometry (PBE).

Cell lengths 5.435, 5.435, 4.806 Å; angles 90.00, 90.00, 90.00 degrees
Space group P4/mmm (No. 123)
Unique sites:
Mg: 0.000 0.000 0.000 x1
Sn: 0.000 0.500 0.500 x2
Ge: 0.500 0.500 0.500 x1
S: 0.500 0.500 0.000 x1

Properties
N(E_F)	3.6	states/eV/cell
E	-3.299	eV/atom

---

(3)
Entry from Alexandria via LeMat-Bulk: crystalline SrMgGe2S6 at its relaxed geometry (PBE).

Cell lengths 12.762, 12.631, 6.858 Å; angles 90.00, 108.87, 90.00 degrees
Space group C2/c (No. 15)
Unique sites:
Sr: 0.000 0.118 0.250 x4
Mg: 0.000 0.243 0.750 x4
Ge: 0.200 0.424 0.213 x8
S: 0.115 0.084 0.692 x8
S: 0.131 0.268 0.092 x8
S: 0.135 0.440 0.489 x8

Properties
N(E_F)	0.0	states/eV/cell
E	-4.562	eV/atom

---

(4)
Entry from Alexandria via LeMat-Bulk: crystalline MgTcGe2S at its relaxed geometry (PBE).

Cell lengths 4.696, 4.696, 5.216 Å; angles 90.00, 90.00, 90.00 degrees
Space group P4/mmm (No. 123)
Unique sites:
Mg: 0.000 0.000 0.000 x1
Tc: 0.000 0.000 0.500 x1
Ge: 0.000 0.500 0.500 x2
S: 0.500 0.500 0.000 x1

Properties
N(E_F)	4.7	states/eV/cell
E	-4.703	eV/atom

---

(5)
Entry from Alexandria via LeMat-Bulk: crystalline MgTlGe2S6 at its relaxed geometry (PBE).

Cell lengths 13.062, 11.975, 6.929 Å; angles 90.00, 111.66, 90.00 degrees
Space group C2/c (No. 15)
Unique sites:
Mg: 0.000 0.213 0.250 x4
Tl: 0.000 0.155 0.750 x4
Ge: 0.206 0.426 0.704 x8
S: 0.111 0.063 0.161 x8
S: 0.131 0.442 0.955 x8
S: 0.150 0.253 0.587 x8

Properties
N(E_F)	10.2	states/eV/cell
E	-4.205	eV/atom

---

(6)
Entry from Alexandria via LeMat-Bulk: crystalline Y6MgGe2S14 at its relaxed geometry (PBE).

Cell lengths 9.8594, 9.8594, 5.8525 Å; angles 90.00, 90.00, 120.00 degrees
Space group P3 (No. 143)
Unique sites:
Y: 0.0239 0.5542 0.0000 x3
Y: 0.3063 0.1092 0.5070 x3
Mg: 0.6667 0.3333 0.3010 x1
Ge: 0.0000 0.0000 0.9294 x1
Ge: 0.3333 0.6667 0.4199 x1
S: 0.0000 0.0000 0.3062 x1
S: 0.0880 0.8523 0.7671 x3
S: 0.1866 0.4306 0.2590 x3
S: 0.3333 0.6667 0.7977 x1
S: 0.4155 0.1817 0.0641 x3
S: 0.5123 0.4310 0.5456 x3

Properties
N(E_F)	0.0	states/eV/cell
E	-6.237	eV/atom

---

(7)
Entry from Alexandria via LeMat-Bulk: crystalline MgZnGe2S6 at its relaxed geometry (PBE).

Cell lengths 12.494, 11.565, 6.590 Å; angles 90.00, 110.69, 90.00 degrees
Space group C2/c (No. 15)
Unique sites:
Mg: 0.000 0.118 0.250 x4
Zn: 0.000 0.220 0.750 x4
Ge: 0.197 0.419 0.232 x8
S: 0.111 0.071 0.643 x8
S: 0.126 0.433 0.502 x8
S: 0.129 0.245 0.101 x8

Properties
N(E_F)	0.0	states/eV/cell
E	-4.241	eV/atom

---

(8)
Entry from Alexandria via LeMat-Bulk: crystalline Mg2Ge2Sb at its relaxed geometry (PBE).

Cell lengths 4.602, 4.602, 10.738 Å; angles 90.00, 90.00, 90.00 degrees
Space group I4/mmm (No. 139)
Unique sites:
Mg: 0.000 0.500 0.250 x4
Ge: 0.000 0.000 0.111 x4
Sb: 0.000 0.000 0.500 x2

Properties
N(E_F)	5.2	states/eV/cell
E	-3.256	eV/atom

---

(9)
Entry from Alexandria via LeMat-Bulk: crystalline Mg2Ge2Sb at its relaxed geometry (PBE).

Cell lengths 8.335, 8.335, 3.097 Å; angles 90.00, 90.00, 90.00 degrees
Space group P4/mbm (No. 127)
Unique sites:
Mg: 0.137 0.363 0.000 x4
Ge: 0.161 0.661 0.500 x4
Sb: 0.000 0.000 0.500 x2

Properties
N(E_F)	4.7	states/eV/cell
E	-3.338	eV/atom

---

(10)
Entry from Alexandria via LeMat-Bulk: crystalline MgGe2Sb at its relaxed geometry (PBE).

Cell lengths 7.058, 7.058, 7.058 Å; angles 90.00, 90.00, 90.00 degrees
Space group Fm-3m (No. 225)
Unique sites:
Mg: 0.000 0.000 0.000 x4
Ge: 0.250 0.250 0.250 x8
Sb: 0.000 0.000 0.500 x4

Properties
N(E_F)	7.5	states/eV/cell
E	-3.559	eV/atom